# 1
Here is NaInHg4 after structural relaxation from Alexandria. Energies are from GGA-PBE.

The structure belongs to space group C2/m (No. 12); the cell edges are 11.6390, 3.9367 and 7.1574 Å and the angles 90.00°, 108.83° and 90.00°. The inequivalent atoms are Na at (0.0000, 0.0000, 0.0000), In at (0.0000, 0.0000, 0.5000), Hg at (0.1643, 0.5000, 0.3354) and Hg at (0.1668, 0.5000, 0.8367).

Its formation energy is -0.7 eV per formula unit. The calculation puts the offset from the most stable computed form at 0 meV per atom. The total energy is -0.073 Ry/atom.


# 2
Here is Ac4LaN4 after structural relaxation from Alexandria. Energies are from GGA-PBE.

The structure belongs to space group C2/m (No. 12); the cell edges are 12.9477, 3.8368 and 9.6725 Å and the angles 90.00°, 120.27° and 90.00°. The inequivalent atoms are Ac at (0.1038, 0.0000, 0.3783), Ac at (0.2059, 0.5000, 0.8126), La at (0.0000, 0.5000, 0.0000), N at (0.1033, 0.0000, 0.9113) and N at (0.1912, 0.5000, 0.2993).

The total energy is -0.521 Ry/atom. The calculation puts the uncorrected formation energy at -1.009 eV per atom.


# 3
Here is SrTb6Pm8 after structural relaxation from Alexandria. Energies are from GGA-PBE.

The structure belongs to space group R-3 (No. 148, hexagonal axes); the cell edges are 9.8319, 9.8319 and 18.2820 Å and the angles 90.00°, 90.00° and 120.00°. The inequivalent atoms are Sr at (0.0000, 0.0000, 0.0000), Tb at (0.0254, 0.2339, 0.4087), Pm at (0.0000, 0.0000, 0.2385) and Pm at (0.0457, 0.2856, 0.9006).

Its formation energy is 3.0 eV per formula unit. The total energy is -0.316 Ry/atom.


# 4
Here is BaAgP after structural relaxation from Alexandria. Energies are from GGA-PBE.

The structure belongs to space group C2/m (No. 12); the cell edges are 11.9669, 4.5820 and 6.5821 Å and the angles 90.00°, 92.23° and 90.00°. The inequivalent atoms are Ba at (0.1424, 0.0000, 0.2416), Ag at (0.0818, 0.5000, 0.6851) and P at (0.1442, 0.0000, 0.7439).

Its formation energy is -1.8 eV per formula unit. The total energy is -0.295 Ry/atom.


# 5
Here is CoAsPd3 after structural relaxation from Alexandria. Energies are from GGA-PBE.

The structure belongs to space group Pm-3m (No. 221); the cell edges are 4.5656, 4.5656 and 4.5656 Å and the angles 90.00°, 90.00° and 90.00°. The inequivalent atoms are Co at (0.0000, 0.0000, 0.0000), As at (0.5000, 0.5000, 0.5000) and Pd at (0.0000, 0.0000, 0.5000).

Its formation energy is 3.9 eV per formula unit. The calculation puts the offset from the most stable computed form at 236 meV per atom. The total energy is -0.344 Ry/atom.


# 6
Here is Pm7Sm12Pb after structural relaxation from Alexandria. Energies are from GGA-PBE.

The structure belongs to space group R-3 (No. 148, hexagonal axes); the cell edges are 12.4684, 12.4684 and 15.6587 Å and the angles 90.00°, 90.00° and 120.00°. The inequivalent atoms are Pm at (0.0000, 0.0000, 0.0000), Pm at (0.0142, 0.5767, 0.7000), Sm at (0.0319, 0.8450, 0.8101), Sm at (0.0705, 0.2614, 0.4237) and Pb at (0.0000, 0.0000, 0.5000).

Its formation energy is 3.2 eV per formula unit. The total energy is -0.332 Ry/atom.


# 7
Here is SrLa2Tm after structural relaxation from Alexandria. Energies are from GGA-PBE.

The structure belongs to space group R-3m (No. 166, hexagonal axes); the cell edges are 3.6953, 3.6953 and 39.5266 Å and the angles 90.00°, 90.00° and 120.00°. The inequivalent atoms are Sr at (0.0000, 0.0000, 0.0000), La at (0.0000, 0.0000, 0.0940) and Tm at (0.0000, 0.0000, 0.5000).

Its formation energy is 0.7 eV per formula unit. The calculation puts the offset from the most stable computed form at 81 meV per atom. The total energy is -0.281 Ry/atom.


# 8
Here is LaNbI2Br after structural relaxation from Alexandria. Energies are from GGA-PBE.

The structure belongs to space group P4/mmm (No. 123); the cell edges are 6.5353, 6.5353 and 5.3435 Å and the angles 90.00°, 90.00° and 90.00°. The inequivalent atoms are La at (0.0000, 0.0000, 0.0000), Nb at (0.5000, 0.5000, 0.0000), I at (0.0000, 0.5000, 0.5000) and Br at (0.0000, 0.0000, 0.5000).

The total energy is -0.225 Ry/atom. The calculation puts the uncorrected formation energy at 0.895 eV per atom.


# 9
Here is Rb4HoU3S8 after structural relaxation from Alexandria. Energies are from GGA-PBE.

The structure belongs to space group R-3m (No. 166, hexagonal axes); the cell edges are 8.1437, 8.1437 and 23.2075 Å and the angles 90.00°, 90.00° and 120.00°. The inequivalent atoms are Rb at (0.0000, 0.0000, 0.0000), Rb at (0.0000, 0.5000, 0.0000), Ho at (0.0000, 0.0000, 0.5000), U at (0.0000, 0.5000, 0.5000), S at (0.0000, 0.0000, 0.2311) and S at (0.0021, 0.5010, 0.2311).

The total energy is -0.454 Ry/atom. The calculation puts the uncorrected formation energy at -1.465 eV per atom.


# 10
Here is CePrCoPd after structural relaxation from Alexandria. Energies are from GGA-PBE.

The structure belongs to space group F-43m (No. 216); the cell edges are 7.0599, 7.0599 and 7.0599 Å and the angles 90.00°, 90.00° and 90.00°. The inequivalent atoms are Ce at (0.0000, 0.0000, 0.0000), Pr at (0.0000, 0.0000, 0.5000), Co at (0.2500, 0.2500, 0.2500) and Pd at (0.2500, 0.2500, 0.7500).

Its formation energy is -1.1 eV per formula unit. The total energy is -0.443 Ry/atom.


# 11
Here is TbZr2PaAs4 after structural relaxation from Alexandria. Energies are from GGA-PBE.

The structure belongs to space group P2/m (No. 10); the cell edges are 6.8759, 4.0039 and 6.9163 Å and the angles 90.00°, 109.61° and 90.00°. The inequivalent atoms are Tb at (0.0000, 0.0000, 0.0000), Zr at (0.5000, 0.0000, 0.5000), Zr at (0.5000, 0.5000, 0.0000), Pa at (0.0000, 0.5000, 0.5000), As at (0.2630, 0.0000, 0.7540) and As at (0.2625, 0.5000, 0.2561).

Its formation energy is -9.7 eV per formula unit. The total energy is -0.547 Ry/atom.


# 12
Here is La3YPu2Se6 after structural relaxation from Alexandria. Energies are from GGA-PBE.

The structure belongs to space group C2/m (No. 12); the cell edges are 7.2862, 12.6223 and 7.3528 Å and the angles 90.00°, 109.28° and 90.00°. The inequivalent atoms are La at (0.0000, 0.0000, 0.0000), La at (0.0000, 0.3323, 0.0000), Y at (0.0000, 0.5000, 0.5000), Pu at (0.0000, 0.1664, 0.5000), Se at (0.2440, 0.3344, 0.7354) and Se at (0.2481, 0.0000, 0.7373).

The total energy is -0.567 Ry/atom. The calculation puts the uncorrected formation energy at -1.812 eV per atom.


# 13
Here is LiPd3Pt2 after structural relaxation from Alexandria. Energies are from GGA-PBE.

The structure belongs to space group P-3m1 (No. 164); the cell edges are 5.5011, 5.5011 and 6.8389 Å and the angles 90.00°, 90.00° and 120.00°. The inequivalent atoms are Li at (0.3333, 0.6667, 0.3289), Pd at (0.1676, 0.3351, 0.6628), Pt at (0.0000, 0.0000, 0.0000) and Pt at (0.0000, 0.5000, 0.0000).

Its formation energy is -1.5 eV per formula unit. The calculation puts the offset from the most stable computed form at 0 meV per atom. The total energy is -0.380 Ry/atom.


# 14
Here is BaZnCd2Au after structural relaxation from Alexandria. Energies are from GGA-PBE.

The structure belongs to space group P4/mmm (No. 123); the cell edges are 5.1673, 5.1673 and 5.1896 Å and the angles 90.00°, 90.00° and 90.00°. The inequivalent atoms are Ba at (0.0000, 0.0000, 0.0000), Zn at (0.5000, 0.5000, 0.5000), Cd at (0.0000, 0.5000, 0.5000) and Au at (0.5000, 0.5000, 0.0000).

Its formation energy is -1.0 eV per formula unit. The calculation puts the offset from the most stable computed form at 144 meV per atom. The total energy is -0.137 Ry/atom.


# 15
Here is BaBiC3 after structural relaxation from Alexandria. Energies are from GGA-PBE.

The structure belongs to space group Pm-3m (No. 221); the cell edges are 4.6416, 4.6416 and 4.6416 Å and the angles 90.00°, 90.00° and 90.00°. The inequivalent atoms are Ba at (0.0000, 0.0000, 0.0000), Bi at (0.5000, 0.5000, 0.5000) and C at (0.0000, 0.5000, 0.5000).

Its formation energy is 11.4 eV per formula unit. The calculation puts the offset from the most stable computed form at 0 meV per atom. The total energy is -0.324 Ry/atom.


# 16
Here is PmSb3 after structural relaxation from Alexandria. Energies are from GGA-PBE.

The structure belongs to space group Fm-3m (No. 225); the cell edges are 7.7127, 7.7127 and 7.7127 Å and the angles 90.00°, 90.00° and 90.00°. The inequivalent atoms are Pm at (0.0000, 0.0000, 0.0000), Sb at (0.0000, 0.0000, 0.5000) and Sb at (0.2500, 0.2500, 0.2500).

The calculation puts the offset from the most stable computed form at 274 meV per atom. The total energy is -0.332 Ry/atom. The calculation puts the uncorrected formation energy at -0.233 eV per atom.


# 17
Here is La4TcGe after structural relaxation from Alexandria. Energies are from GGA-PBE.

The structure belongs to space group C2/c (No. 15); the cell edges are 9.2863, 13.7588 and 6.5610 Å and the angles 90.00°, 121.28° and 90.00°. The inequivalent atoms are La at (0.1213, 0.1779, 0.0812), La at (0.2143, 0.4328, 0.3119), Tc at (0.0000, 0.0001, 0.2500) and Ge at (0.0000, 0.3740, 0.7500).

Its formation energy is -2.0 eV per formula unit. The total energy is -0.450 Ry/atom.


# 18
Here is TmThMnCu after structural relaxation from Alexandria. Energies are from GGA-PBE.

The structure belongs to space group F-43m (No. 216); the cell edges are 6.9839, 6.9839 and 6.9839 Å and the angles 90.00°, 90.00° and 90.00°. The inequivalent atoms are Tm at (0.0000, 0.0000, 0.0000), Th at (0.0000, 0.0000, 0.5000), Mn at (0.2500, 0.2500, 0.2500) and Cu at (0.2500, 0.2500, 0.7500).

Its formation energy is 0.1 eV per formula unit. The total energy is -0.460 Ry/atom.


# 19
Here is Ir2RuAu after structural relaxation from Alexandria. Energies are from GGA-PBE.

The structure belongs to space group Imm2 (No. 44); the cell edges are 2.7364, 4.6784 and 9.8392 Å and the angles 90.00°, 90.00° and 90.00°. The inequivalent atoms are Ir at (0.0000, 0.0000, 0.0000), Ir at (0.0000, 0.5000, 0.2689), Ru at (0.0000, 0.5000, 0.7243) and Au at (0.0000, 0.0000, 0.4969).

Its formation energy is 1.7 eV per formula unit. The calculation puts the offset from the most stable computed form at 259 meV per atom. The total energy is -0.526 Ry/atom.